Nd2CdBr: optimized geometry, PBE.

## Properties
- E_tot: -3.676 eV/atom
- Energy relative to the elements, uncorrected: -645 meV/atom
- Polymorph energy (0 for the lowest one): 0.0005 eV per atom
- DOS(E_F): 0.922 states/eV per atom
- Space group: R-3m, No. 166

Unit cell a=4.2727 b=4.2727 c=7.9855 alpha=74.48 beta=74.48 gamma=60.00
Closest atoms and distances in Å follow each position.
Positions (direct):
Nd  0.2473  0.2473  0.2582  3 Br 3.08, 3 Cd 3.15
Br  0.5000  0.5000  0.5000  6 Nd 3.08
Cd  0.0000  0.0000  0.0000  6 Nd 3.15
Nd  0.7527  0.7527  0.7418  3 Br 3.08, 3 Cd 3.15